YTlCdFe after structural relaxation, computed with PBE.

abc: 4.970 4.970 4.970
angles: 60.00 60.00 60.00
Fractional coordinates of all 4 atoms:
Cd 0.500 0.500 0.500
Fe 0.750 0.750 0.750
Tl 0.000 0.000 0.000
Y 0.250 0.250 0.250

Values from the calculation:
The value obtained for the energy above the most stable polymorph in this dataset is 0 meV/atom. As for the spin magnetization: 2.59 Bohr magnetons per cell. The value obtained for the theoretical density is 8.83 g/cm³. For the energy, the calculation gives -17.64 eV per formula unit.



Y4FeGeN2 after structural relaxation, computed with PBE.

abc: 3.474 3.474 14.127
angles: 90.00 90.00 120.00
Last column: magnetic moment on the atom in μB.
Fractional coordinates of all 8 atoms:
Fe 0.000 0.000 0.000  1.81
Ge 0.667 0.333 0.500  0.01
N 0.333 0.667 0.247  0.01
N 0.333 0.667 0.753  0.01
Y 0.667 0.333 0.140  -0.28
Y 0.000 0.000 0.337  -0.04
Y 0.000 0.000 0.663  -0.04
Y 0.667 0.333 0.860  -0.28

Values from the calculation:
As for the spin magnetization: 0.66 Bohr magnetons per cell. The value obtained for the theoretical density is 5.76 g/cm³. For the energy, the calculation gives -61.96 eV per formula unit.



PaHg after structural relaxation, computed with PBE.

abc: 3.193 3.193 5.556
angles: 90.00 90.00 120.00
Fractional coordinates of all 2 atoms:
Hg 0.667 0.333 0.750
Pa 0.333 0.667 0.250

Values from the calculation:
The value obtained for the energy above the most stable polymorph in this dataset is 0 meV/atom. As for the spin magnetization: 0.03 Bohr magnetons per cell. The value obtained for the theoretical density is 14.61 g/cm³. The value obtained for the energy of formation from the pure elements is 3.2 kJ/mol of atoms. For the energy, the calculation gives -9.73 eV per formula unit.



RbScHgSe3 after structural relaxation, computed with PBE.

abc: 9.396 9.396 9.241
angles: 100.89 100.89 24.71
Fractional coordinates of all 12 atoms:
Hg 0.517 0.517 0.221
Hg 0.483 0.483 0.779
Rb 0.852 0.852 0.434
Rb 0.148 0.148 0.566
Sc 0.179 0.179 0.077
Sc 0.821 0.821 0.923
Se 0.000 0.000 0.000
Se 0.326 0.326 0.123
Se 0.670 0.670 0.270
Se 0.500 0.500 0.500
Se 0.330 0.330 0.730
Se 0.674 0.674 0.877

Values from the calculation:
As for the spin magnetization: 0.00 Bohr magnetons per cell. The value obtained for the theoretical density is 5.64 g/cm³. For the energy, the calculation gives -24.27 eV per formula unit.



Tb2ErZn3AgAu2 after structural relaxation, computed with PBE.

abc: 3.825 7.538 7.538
angles: 119.81 90.00 90.00
Fractional coordinates of all 9 atoms:
Ag 0.000 0.002 0.002
Au 0.500 0.664 0.334
Au 0.500 0.334 0.664
Er 0.000 0.406 0.406
Tb 0.000 0.000 0.594
Tb 0.000 0.594 0.000
Zn 0.500 0.260 0.001
Zn 0.500 0.001 0.260
Zn 0.500 0.739 0.739

Values from the calculation:
As for the spin magnetization: 0.01 Bohr magnetons per cell. The value obtained for the theoretical density is 10.42 g/cm³. The value obtained for the energy of formation from the pure elements is -56.2 kJ/mol of atoms. For the energy, the calculation gives -32.21 eV per formula unit.



PmPPt after structural relaxation, computed with PBE.

abc: 4.179 4.179 4.023
angles: 90.00 90.00 120.00
Fractional coordinates of all 3 atoms:
P 0.000 0.000 0.164
Pm 0.333 0.667 0.667
Pt 0.667 0.333 0.169

Values from the calculation:
As for the spin magnetization: 0.01 Bohr magnetons per cell. The value obtained for the theoretical density is 10.13 g/cm³. For the energy, the calculation gives -20.26 eV per formula unit.



YUAu after structural relaxation, computed with PBE.

abc: 4.867 4.867 4.867
angles: 60.00 60.00 60.00
Last column: magnetic moment on the atom in μB.
Fractional coordinates of all 3 atoms:
Au 0.500 0.500 0.500  -0.04
U 0.750 0.750 0.750  2.41
Y 0.000 0.000 0.000  0.31

Values from the calculation:
The value obtained for the energy above the most stable polymorph in this dataset is 0 meV/atom. As for the spin magnetization: 2.84 Bohr magnetons per cell. The value obtained for the theoretical density is 10.67 g/cm³. The value obtained for the energy of formation from the pure elements is 60.8 kJ/mol of atoms. For the energy, the calculation gives -19.14 eV per formula unit.



AgPdS6 after structural relaxation, computed with PBE.

abc: 6.123 6.123 6.123
angles: 60.00 60.00 60.00
Fractional coordinates of all 8 atoms:
Ag 0.250 0.250 0.250
Pd 0.500 0.500 0.500
S 0.780 0.220 0.220
S 0.220 0.780 0.220
S 0.780 0.780 0.220
S 0.220 0.220 0.780
S 0.780 0.220 0.780
S 0.220 0.780 0.780

Values from the calculation:
The value obtained for the theoretical density is 4.16 g/cm³. For the energy, the calculation gives -27.35 eV per formula unit.



AlZnCdFe after structural relaxation, computed with PBE.

abc: 4.418 4.418 4.418
angles: 60.00 60.00 60.00
Fractional coordinates of all 4 atoms:
Al 0.000 0.000 0.000
Cd 0.250 0.250 0.250
Fe 0.750 0.750 0.750
Zn 0.500 0.500 0.500

Values from the calculation:
The value obtained for the energy above the most stable polymorph in this dataset is 0 meV/atom. As for the spin magnetization: 1.83 Bohr magnetons per cell. The value obtained for the theoretical density is 7.10 g/cm³. For the energy, the calculation gives -13.44 eV per formula unit.



TmCo2 after structural relaxation, computed with PBE.

abc: 5.002 5.002 5.002
angles: 120.00 90.00 120.00
Last column: magnetic moment on the atom in μB.
Fractional coordinates of all 6 atoms:
Co 0.375 0.750 0.125  1.17
Co 0.875 0.250 0.625  1.04
Co 0.375 0.250 0.625  1.00
Co 0.375 0.750 0.625  1.19
Tm 0.000 0.000 0.000  -0.37
Tm 0.750 0.500 0.250  -0.36

Values from the calculation:
As for the spin magnetization: 3.69 Bohr magnetons per cell. The value obtained for the theoretical density is 10.77 g/cm³. The value obtained for the energy of formation from the pure elements is -25.1 kJ/mol of atoms. For the energy, the calculation gives -19.47 eV per formula unit.



RbThTlTe3 after structural relaxation, computed with PBE.

abc: 8.866 8.866 13.191
angles: 90.00 90.00 150.11
Fractional coordinates of all 12 atoms:
Rb 0.313 0.687 0.250
Rb 0.687 0.313 0.750
Te 0.624 0.376 0.001
Te 0.998 0.002 0.250
Te 0.624 0.376 0.499
Te 0.376 0.624 0.501
Te 0.002 0.998 0.750
Te 0.376 0.624 0.999
Th 0.000 0.000 0.000
Th 0.000 0.000 0.500
Tl 0.627 0.373 0.250
Tl 0.373 0.627 0.750

Values from the calculation:
As for the spin magnetization: 0.00 Bohr magnetons per cell. The value obtained for the theoretical density is 5.82 g/cm³. For the energy, the calculation gives -25.75 eV per formula unit.



PrSmSn2Pd4 after structural relaxation, computed with PBE.

abc: 4.641 4.641 9.182
angles: 90.00 90.00 120.00
Fractional coordinates of all 8 atoms:
Pd 0.333 0.667 0.163
Pd 0.000 0.000 0.329
Pd 0.000 0.000 0.671
Pd 0.333 0.667 0.837
Pr 0.333 0.667 0.500
Sm 0.000 0.000 0.000
Sn 0.667 0.333 0.245
Sn 0.667 0.333 0.755

Values from the calculation:
As for the spin magnetization: 0.01 Bohr magnetons per cell. The value obtained for the theoretical density is 9.25 g/cm³. For the energy, the calculation gives -44.96 eV per formula unit.